First-principles (GGA-PBEsol) data for crystalline EuZn2Si2 at its relaxed geometry, as listed in Alexandria via LeMat-Bulk.

Formation energy (no corrections) ... -2.1 eV per formula unit

```
data_EuZn2Si2
_chemical_formula_sum 'Eu2 Zn4 Si4'
_symmetry_space_group_name_H-M 'I 4/m m m'
_symmetry_Int_Tables_number 139
_symmetry_space_group_name_Hall '-I 4 2'
_cell_length_a 4.164
_cell_length_b 4.164
_cell_length_c 10.128
_cell_angle_alpha 90.00
_cell_angle_beta 90.00
_cell_angle_gamma 90.00
loop_
_atom_site_label
_atom_site_fract_x
_atom_site_fract_y
_atom_site_fract_z
Eu1 0.000 0.000 0.000
Zn1 0.000 0.500 0.250
Si1 0.000 0.000 0.384
```



First-principles (GGA-PBEsol) data for crystalline EuSn at its relaxed geometry, as listed in Alexandria via LeMat-Bulk.

Energy relative to the elements ... -0.7420 eV per atom

```
data_EuSn
_chemical_formula_sum 'Eu4 Sn4'
_symmetry_space_group_name_H-M 'C m c m'
_symmetry_Int_Tables_number 63
_symmetry_space_group_name_Hall '-C 2c 2'
_cell_length_a 4.778
_cell_length_b 11.636
_cell_length_c 4.366
_cell_angle_alpha 90.00
_cell_angle_beta 90.00
_cell_angle_gamma 90.00
loop_
_atom_site_label
_atom_site_fract_x
_atom_site_fract_y
_atom_site_fract_z
Eu1 0.000 0.136 0.250
Sn1 0.000 0.417 0.250
```



First-principles (GGA-PBEsol) data for crystalline Eu3Sn at its relaxed geometry, as listed in Alexandria via LeMat-Bulk.

Energy relative to the elements ... -0.5182 eV per atom

```
data_Eu3Sn
_chemical_formula_sum 'Eu6 Sn2'
_symmetry_space_group_name_H-M 'P 63/m m c'
_symmetry_Int_Tables_number 194
_symmetry_space_group_name_Hall '-P 6c 2c'
_cell_length_a 7.0461
_cell_length_b 7.0461
_cell_length_c 5.6153
_cell_angle_alpha 90.00
_cell_angle_beta 90.00
_cell_angle_gamma 120.00
loop_
_atom_site_label
_atom_site_fract_x
_atom_site_fract_y
_atom_site_fract_z
Eu1 0.1756 0.3512 0.2500
Sn1 0.3333 0.6667 0.7500
```



First-principles (GGA-PBEsol) data for crystalline EuZnSn at its relaxed geometry, as listed in Alexandria via LeMat-Bulk.

Energy relative to the elements ... -0.5441 eV per atom

```
data_EuZnSn
_chemical_formula_sum 'Eu4 Zn4 Sn4'
_symmetry_space_group_name_H-M 'C 1 2/m 1'
_symmetry_Int_Tables_number 12
_symmetry_space_group_name_Hall '-C 2y'
_cell_length_a 11.028
_cell_length_b 4.639
_cell_length_c 7.509
_cell_angle_alpha 90.00
_cell_angle_beta 132.30
_cell_angle_gamma 90.00
loop_
_atom_site_label
_atom_site_fract_x
_atom_site_fract_y
_atom_site_fract_z
Eu1 0.044 0.000 0.293
Zn1 0.149 0.500 0.095
Sn1 0.172 0.500 0.728
```



First-principles (GGA-PBEsol) data for crystalline Eu2ZnSn at its relaxed geometry, as listed in Alexandria via LeMat-Bulk.

Energy relative to the elements ... -0.5417 eV per atom

```
data_Eu2ZnSn
_chemical_formula_sum 'Eu8 Zn4 Sn4'
_symmetry_space_group_name_H-M 'F m -3 m'
_symmetry_Int_Tables_number 225
_symmetry_space_group_name_Hall '-F 4 2 3'
_cell_length_a 7.546
_cell_length_b 7.546
_cell_length_c 7.546
_cell_angle_alpha 90.00
_cell_angle_beta 90.00
_cell_angle_gamma 90.00
loop_
_atom_site_label
_atom_site_fract_x
_atom_site_fract_y
_atom_site_fract_z
Eu1 0.250 0.250 0.250
Zn1 0.000 0.000 0.000
Sn1 0.000 0.000 0.500
```



First-principles (GGA-PBEsol) data for crystalline EuZn2Sn2 at its relaxed geometry, as listed in Alexandria via LeMat-Bulk.

Energy relative to the elements ... -0.3797 eV per atom

```
data_EuZn2Sn2
_chemical_formula_sum 'Eu2 Zn4 Sn4'
_symmetry_space_group_name_H-M 'P 4/n m m'
_symmetry_Int_Tables_number 129
_cell_length_a 4.540
_cell_length_b 4.540
_cell_length_c 11.044
_cell_angle_alpha 90.00
_cell_angle_beta 90.00
_cell_angle_gamma 90.00
loop_
_symmetry_equiv_pos_as_xyz
'x,y,z'
'-x,-y,-z'
'-y+1/2,x,z'
'y+1/2,-x,-z'
'-x+1/2,-y+1/2,z'
'x+1/2,y+1/2,-z'
'y,-x+1/2,z'
'-y,x+1/2,-z'
'x+1/2,-y,-z'
'-x+1/2,y,z'
'-y,-x,-z'
'y,x,z'
'-x,y+1/2,-z'
'x,-y+1/2,z'
'y+1/2,x+1/2,-z'
'-y+1/2,-x+1/2,z'
loop_
_atom_site_label
_atom_site_fract_x
_atom_site_fract_y
_atom_site_fract_z
Eu1 0.250 0.250 0.244
Zn1 0.250 0.250 0.637
Zn2 0.250 0.750 0.000
Sn1 0.250 0.250 0.867
Sn2 0.250 0.750 0.500
```



First-principles (GGA-PBEsol) data for crystalline SrEu3 at its relaxed geometry, as listed in Alexandria via LeMat-Bulk.

Energy relative to the elements ... 0.0485 eV per atom

```
data_SrEu3
_chemical_formula_sum 'Sr1 Eu3'
_symmetry_space_group_name_H-M 'P m -3 m'
_symmetry_Int_Tables_number 221
_symmetry_space_group_name_Hall '-P 4 2 3'
_cell_length_a 5.489
_cell_length_b 5.489
_cell_length_c 5.489
_cell_angle_alpha 90.00
_cell_angle_beta 90.00
_cell_angle_gamma 90.00
loop_
_atom_site_label
_atom_site_fract_x
_atom_site_fract_y
_atom_site_fract_z
Sr1 0.000 0.000 0.000
Eu1 0.000 0.500 0.500
```



First-principles (GGA-PBEsol) data for crystalline SrEu3 at its relaxed geometry, as listed in Alexandria via LeMat-Bulk.

Energy relative to the elements ... 0.0528 eV per atom

```
data_SrEu3
_chemical_formula_sum 'Sr4 Eu12'
_symmetry_space_group_name_H-M 'F m -3 m'
_symmetry_Int_Tables_number 225
_symmetry_space_group_name_Hall '-F 4 2 3'
_cell_length_a 8.740
_cell_length_b 8.740
_cell_length_c 8.740
_cell_angle_alpha 90.00
_cell_angle_beta 90.00
_cell_angle_gamma 90.00
loop_
_atom_site_label
_atom_site_fract_x
_atom_site_fract_y
_atom_site_fract_z
Sr1 0.000 0.000 0.000
Eu1 0.000 0.000 0.500
Eu2 0.250 0.250 0.250
```



| no. | DFT total energy (eV/atom) |
| --- | --- |
| 1 | -5.47 |
| 2 | -8.15 |
| 3 | -9.51 |
| 4 | -6.01 |
| 5 | -7.28 |
| 6 | -4.83 |
| 7 | -8.33 |
| 8 | -8.33 |